Entry 1:
Entry from Alexandria via LeMat-Bulk: crystalline LiCu8Si2 at its relaxed geometry (GGA-PBE).

CIF file:
```
data_LiCu8Si2
_chemical_formula_sum 'Li1 Cu8 Si2'
_cell_length_a 6.760
_cell_length_b 6.760
_cell_length_c 5.592
_cell_angle_alpha 102.98
_cell_angle_beta 102.98
_cell_angle_gamma 32.07
_space_group_name_H-M_alt 'P 1'
_space_group_IT_number 1
_space_group_name_Hall 'P 1'
loop_
_atom_site_label
_atom_site_type_symbol
_atom_site_fract_x
_atom_site_fract_y
_atom_site_fract_z
Li1 Li 0.000 0.000 0.000
Cu1 Cu 0.090 0.090 0.455
Cu2 Cu 0.180 0.180 0.913
Cu3 Cu 0.273 0.273 0.364
Cu4 Cu 0.458 0.458 0.259
Cu5 Cu 0.542 0.542 0.741
Cu6 Cu 0.727 0.727 0.636
Cu7 Cu 0.820 0.820 0.087
Cu8 Cu 0.910 0.910 0.545
Si1 Si 0.358 0.358 0.809
Si2 Si 0.642 0.642 0.191
```

Output
Formation energy from raw total energies in eV/atom: -0.08
Distance to the lowest polymorph of the same formula in kJ/mol of formula units: 0

***

Entry 2:
Entry from Alexandria via LeMat-Bulk: crystalline CsPa3P4N12 at its relaxed geometry (GGA-PBE).

CIF file:
```
data_CsPa3P4N12
_chemical_formula_sum 'Cs1 Pa3 P4 N12'
_cell_length_a 7.052
_cell_length_b 7.052
_cell_length_c 7.052
_cell_angle_alpha 101.40
_cell_angle_beta 101.40
_cell_angle_gamma 101.40
_space_group_name_H-M_alt 'P 1'
_space_group_IT_number 1
_space_group_name_Hall 'P 1'
loop_
_atom_site_label
_atom_site_type_symbol
_atom_site_fract_x
_atom_site_fract_y
_atom_site_fract_z
Cs1 Cs 0.000 0.000 0.000
Pa1 Pa 0.000 0.551 0.449
Pa2 Pa 0.449 0.000 0.551
Pa3 Pa 0.551 0.449 0.000
P1 P 0.052 0.500 0.948
P2 P 0.500 0.500 0.500
P3 P 0.500 0.948 0.052
P4 P 0.948 0.052 0.500
N1 N 0.004 0.587 0.761
N2 N 0.095 0.905 0.500
N3 N 0.239 0.413 0.996
N4 N 0.354 0.646 0.500
N5 N 0.413 0.996 0.239
N6 N 0.500 0.095 0.905
N7 N 0.500 0.354 0.646
N8 N 0.587 0.761 0.004
N9 N 0.646 0.500 0.354
N10 N 0.761 0.004 0.587
N11 N 0.905 0.500 0.095
N12 N 0.996 0.239 0.413
```

Output
Formation energy from raw total energies in eV/atom: -0.77

***

Entry 3:
Entry from Alexandria via LeMat-Bulk: crystalline KCuS2Cl at its relaxed geometry (GGA-PBE).

CIF file:
```
data_KCuS2Cl
_chemical_formula_sum 'K1 Cu1 S2 Cl1'
_cell_length_a 4.449
_cell_length_b 4.449
_cell_length_c 6.108
_cell_angle_alpha 90.00
_cell_angle_beta 90.00
_cell_angle_gamma 90.00
_space_group_name_H-M_alt 'P 1'
_space_group_IT_number 1
_space_group_name_Hall 'P 1'
loop_
_atom_site_label
_atom_site_type_symbol
_atom_site_fract_x
_atom_site_fract_y
_atom_site_fract_z
K1 K 0.000 0.000 0.000
Cu1 Cu 0.500 0.500 0.500
S1 S 0.000 0.500 0.500
S2 S 0.500 0.000 0.500
Cl1 Cl 0.500 0.500 0.000
```

Output
Formation energy from raw total energies in eV/atom: -0.35
Distance to the lowest polymorph of the same formula in kJ/mol of formula units: 0